Entry from the Alexandria database: Sc2CrSiF after structural relaxation (PBE+U).

a = 5.335 Å, b = 5.335 Å, c = 3.929 Å
α = 90.00°, β = 90.00°, γ = 90.00°
Sites, in units of the cell vectors:
Sc1 0.000 0.500 0.000
Sc2 0.500 0.000 0.000
Cr1 0.000 0.000 0.500
Si1 0.500 0.500 0.000
F1 0.500 0.500 0.500

The value obtained for the uncorrected energy is -5.60 eV/atom.